[1]
The following is a DFT calculation (PBE-GGA) of crystalline Sm2AlGePt6 at its relaxed geometry.

Total magnetic moment: 0.00 μB/cell
Formation energy: -0.7899 eV per atom
SG: P-1
VASP energy: -6.19 eV per atom

```
Sm2AlGePt6
1.0
6.637 0.363 -0.504
0.344 6.983 0.681
3.164 4.172 4.653
Sm Al Ge Pt
2 1 1 6
direct
0.082 0.681 0.598 Sm
0.918 0.319 0.402 Sm
0.500 0.500 0.000 Al
0.000 0.000 0.000 Ge
0.348 0.845 0.999 Pt
0.759 0.749 0.991 Pt
0.346 0.349 0.496 Pt
0.652 0.155 0.001 Pt
0.241 0.251 0.009 Pt
0.654 0.651 0.504 Pt
```

***

[2]
The following is a DFT calculation (PBE-GGA) of crystalline Sm3AlGe2Pt9 at its relaxed geometry.

Total magnetic moment: 0.00 μB/cell
Formation energy: -0.6632 eV per atom
SG: P-3m1
VASP energy: -6.10 eV per atom

```
Sm3AlGe2Pt9
1.0
6.488 0.000 0.000
-3.244 5.619 0.000
0.000 0.000 9.001
Sm Al Ge Pt
3 1 2 9
direct
0.333 0.667 0.725 Sm
0.000 0.000 0.000 Sm
0.667 0.333 0.275 Sm
0.000 0.000 0.500 Al
0.333 0.667 0.189 Ge
0.667 0.333 0.811 Ge
0.862 0.138 0.718 Pt
0.862 0.723 0.718 Pt
0.277 0.138 0.718 Pt
0.723 0.862 0.282 Pt
0.138 0.277 0.282 Pt
0.138 0.862 0.282 Pt
0.500 0.000 0.000 Pt
0.000 0.500 0.000 Pt
0.500 0.500 0.000 Pt
```

***

[3]
The following is a DFT calculation (PBE-GGA) of crystalline Sm2Al4GePt3 at its relaxed geometry.

Total magnetic moment: 0.00 μB/cell
Formation energy: -0.9809 eV per atom
SG: P-4m2
VASP energy: -5.70 eV per atom

```
Sm2Al4GePt3
1.0
-1.653 -1.551 3.667
3.890 0.218 1.845
-2.037 9.631 3.155
Sm Al Ge Pt
2 4 1 3
direct
0.500 0.000 0.250 Sm
0.000 0.500 0.750 Sm
0.500 0.500 0.000 Al
0.000 0.000 0.000 Al
0.500 0.000 0.637 Al
0.000 0.500 0.363 Al
0.500 0.500 0.500 Ge
0.000 0.000 0.500 Pt
0.500 0.000 0.872 Pt
0.000 0.500 0.128 Pt
```